Entry 1:
BPt3Br after structural relaxation. Source: the Alexandria database, functional PBE.

Summary:
total magnetization = 0.0 μB/f.u.
E_form (uncorrected) = 1.736 eV per formula unit
E above lowest polymorph = 0.0 meV per atom

a = 4.3005 Å, b = 4.3005 Å, c = 4.3005 Å
α = 90.00°, β = 90.00°, γ = 90.00°
Space group Pm-3m (No. 221)
Asymmetric unit:
B  0.0000  0.0000  0.0000 x1
Pt  0.0000  0.0000  0.5000 x3
Br  0.5000  0.5000  0.5000 x1


Entry 2:
K2LaAu after structural relaxation. Source: the Alexandria database, functional PBE.

Summary:
total magnetization = 0.0 μB/f.u.
ΔE_f = -0.633 eV/f.u.
E above lowest polymorph = 58.9 meV per atom

a = 4.4204 Å, b = 4.4204 Å, c = 34.5488 Å
α = 90.00°, β = 90.00°, γ = 120.00°
Space group R3m (No. 160, hexagonal axes)
Asymmetric unit:
K  0.0000  0.0000  0.0000 x3
K  0.0000  0.0000  0.2161 x3
La  0.0000  0.0000  0.7741 x3
Au  0.0000  0.0000  0.4841 x3


Entry 3:
CuAgPd2N after structural relaxation. Source: the Alexandria database, functional PBE.

Summary:
total magnetization = 0.0 μB/f.u.
E_form (uncorrected) = 0.774 eV per formula unit

a = 4.2143 Å, b = 4.2143 Å, c = 3.8631 Å
α = 90.00°, β = 90.00°, γ = 90.00°
Space group P4/mmm (No. 123)
Asymmetric unit:
Cu  0.0000  0.0000  0.0000 x1
Ag  0.5000  0.5000  0.0000 x1
Pd  0.0000  0.5000  0.5000 x2
N  0.0000  0.0000  0.5000 x1


Entry 4:
GdPu2Mg after structural relaxation. Source: the Alexandria database, functional PBE.

Summary:
total magnetization = 20.4 μB/f.u.
ΔE_f = 1.098 eV/f.u.
E above lowest polymorph = 120.8 meV per atom

a = 4.1387 Å, b = 4.1387 Å, c = 6.6157 Å
α = 90.00°, β = 90.00°, γ = 90.00°
Space group P4/mmm (No. 123)
Asymmetric unit:
Gd  0.0000  0.0000  0.0000 x1
Pu  0.5000  0.5000  0.2624 x2
Mg  0.0000  0.0000  0.5000 x1


Total DFT energy (no corrections) values, unit eV per atom, following the record order: -4.95; -2.76; -4.98; -10.81.
DOS(E_F) values, unit states/eV per cell, following the record order: 1.6; 13.8; 2.4; 15.1.